A geometry-optimized Ti3Ir2Pt structure. Source: Alexandria, functional PBE-GGA.

Cell lengths 6.4662, 6.4662, 3.6352 Å; angles 90.00, 90.00, 143.06 degrees
Closest atoms and distances in Å follow each position.
Atoms (fractional coordinates):
Ti 0.0000 0.0000 0.0000  4 Ir 2.73, 4 Pt 2.74, 4 Ti 2.91
Ti 0.3320 0.6680 0.0000  6 Ir 2.73-2.74, 2 Pt 2.75, 4 Ti 2.87-2.91
Ti 0.6680 0.3320 0.0000  6 Ir 2.73-2.74, 2 Pt 2.75, 4 Ti 2.87-2.91
Ir 0.1656 0.8344 0.5000  8 Ti 2.73-2.74, 2 Pt 2.88, 2 Ir 2.91
Ir 0.8344 0.1656 0.5000  8 Ti 2.73-2.74, 2 Pt 2.88, 2 Ir 2.91
Pt 0.5000 0.5000 0.5000  8 Ti 2.74-2.75, 4 Ir 2.88

As for the crystal system: orthorhombic. As for the energy relative to the lowest polymorph listed for this composition: 5 meV/atom. The calculated total energy is -8.77 eV per atom. The formation energy is -5.1 eV/f.u. Its density of states at the Fermi level is 5.63 states/eV/f.u. The value obtained for the volume is 15.22 A^3/atom.